No. 1
VASP calculation (PBE) on an optimized crystal structure of NiSb2W.

Cell lengths 3.393, 3.393, 6.164 Å; angles 90.00, 90.00, 90.00 degrees
Fractional coordinates of all 4 atoms:
Ni: 0.000 0.000 0.000
Sb: 0.500 0.500 0.243
Sb: 0.500 0.500 0.757
W: 0.000 0.000 0.500

Space group: P4/mmm, No. 123
Energy relative to the elements, uncorrected (kcal/mol of atoms): 8.80
Energy above the lowest structure with this stoichiometry (eV/atom): 0.1956
N(E_F) (states/eV/cell): 3.2
E_tot (eV per cell): -25.453

No. 2
VASP calculation (PBE) on an optimized crystal structure of Ni2Sb4W.

Cell lengths 5.265, 5.265, 12.437 Å; angles 90.00, 90.00, 90.00 degrees
Fractional coordinates of all 14 atoms:
Ni: 0.000 0.000 0.092
Ni: 0.000 0.000 0.908
Ni: 0.500 0.500 0.408
Ni: 0.500 0.500 0.592
Sb: 0.000 0.000 0.285
Sb: 0.000 0.000 0.715
Sb: 0.000 0.500 0.000
Sb: 0.000 0.500 0.500
Sb: 0.500 0.000 0.000
Sb: 0.500 0.000 0.500
Sb: 0.500 0.500 0.215
Sb: 0.500 0.500 0.785
W: 0.000 0.000 0.500
W: 0.500 0.500 0.000

Space group: I4/mmm, No. 139
Energy relative to the elements, uncorrected (kcal/mol of atoms): 13.41
N(E_F) (states/eV/cell): 13.2
E_tot (eV per cell): -73.868

No. 3
VASP calculation (PBE) on an optimized crystal structure of Ni2Sb2W.

Cell lengths 6.887, 6.887, 3.439 Å; angles 90.00, 90.00, 90.00 degrees
Fractional coordinates of all 10 atoms:
Ni: 0.123 0.377 0.000
Ni: 0.377 0.877 0.000
Ni: 0.623 0.123 0.000
Ni: 0.877 0.623 0.000
Sb: 0.179 0.679 0.500
Sb: 0.321 0.179 0.500
Sb: 0.679 0.821 0.500
Sb: 0.821 0.321 0.500
W: 0.000 0.000 0.000
W: 0.500 0.500 0.000

Space group: P4/mbm, No. 127
Energy relative to the elements, uncorrected (kcal/mol of atoms): 7.15
Energy above the lowest structure with this stoichiometry (eV/atom): 0.0000
N(E_F) (states/eV/cell): 8.4
E_tot (eV per cell): -62.419